(1)
First-principles (GGA-PBE) data for a relaxed NdTmTl crystal, as listed in Alexandria via LeMat-Bulk.

a b c (Å): 3.7878 5.2808 5.2808
angles (deg): 120.00 90.00 90.00
Fractional positions:
Tm 0.1920 0.6667 0.3333
Nd 0.6760 0.3333 0.6667
Tl 0.1321 0.0000 0.0000

Summary:
- M_tot (μB/atom) = 0.000
- electronic total energy (eV per cell) = -12.102

***

(2)
First-principles (GGA-PBE) data for a relaxed KMgPb2 crystal, as listed in Alexandria via LeMat-Bulk.

a b c (Å): 5.1693 5.1697 4.6035
angles (deg): 90.00 90.00 90.00
Fractional positions:
Mg 0.0000 0.5000 0.5000
Pb 0.5000 0.5000 0.0000
Pb 0.0000 0.0000 0.0000
K 0.5000 0.0000 0.5000

Summary:
- M_tot (μB/atom) = 0.000
- electronic total energy (eV per cell) = -10.041

***

(3)
First-principles (GGA-PBE) data for a relaxed LaEr2Tl2 crystal, as listed in Alexandria via LeMat-Bulk.

a b c (Å): 3.7942 5.5287 14.2752
angles (deg): 90.00 97.65 90.00
Fractional positions:
Er 0.7640 0.2500 0.5272
Er 0.0495 0.7500 0.1003
Tl 0.4538 0.7500 0.9107
Tl 0.5462 0.2500 0.0893
Tl 0.3560 0.2500 0.7113
Er 0.2360 0.7500 0.4728
Er 0.9505 0.2500 0.8997
La 0.8536 0.7500 0.7051
Tl 0.6440 0.7500 0.2887
La 0.1464 0.2500 0.2949

Summary:
- M_tot (μB/atom) = 0.000
- electronic total energy (eV per cell) = -40.256